No. 1
Density functional theory data (PBE) for crystalline Pr10Y4Th at its relaxed geometry.

Cell: 8.2260 9.0900 9.0900 Å, 78.19 63.10 63.10°
Atoms (fractional coordinates):
1 Pr 0.2500 0.5000 0.5000
2 Pr 0.7065 0.2127 0.7875
3 Pr 0.0808 0.2125 0.2127
4 Pr 0.5060 0.7875 0.7873
5 Pr 0.7067 0.7873 0.2125
6 Pr 0.2935 0.7873 0.2125
7 Pr 0.7500 0.5000 0.5000
8 Pr 0.2933 0.2127 0.7875
9 Pr 0.4940 0.2125 0.2127
10 Pr 0.9192 0.7875 0.7873
11 Y 0.2252 0.0002 0.5494
12 Y 0.7746 0.4506 0.0002
13 Y 0.2254 0.5494 0.9998
14 Y 0.7748 0.9998 0.4506
15 Th 0.0000 0.0000 0.0000

Values from the calculation:
SG: I4/mmm
Energy relative to the elements: 0.22 eV per atom

=====

No. 2
Density functional theory data (PBE) for crystalline Pr14YTh at its relaxed geometry.

Cell: 7.3773 7.3773 10.5105 Å, 90.00 90.00 90.01°
Atoms (fractional coordinates):
1 Pr 0.3754 0.6246 0.5000
2 Pr 0.8746 0.1254 0.5000
3 Pr 0.8746 0.6246 0.0000
4 Pr 0.8756 0.6254 0.5000
5 Pr 0.3754 0.1254 0.0000
6 Pr 0.3746 0.1244 0.5000
7 Pr 0.6275 0.8775 0.7538
8 Pr 0.6275 0.8775 0.2462
9 Pr 0.1225 0.3725 0.7538
10 Pr 0.1225 0.3725 0.2462
11 Pr 0.1224 0.8776 0.7539
12 Pr 0.1224 0.8776 0.2461
13 Pr 0.6275 0.3725 0.7537
14 Pr 0.6275 0.3725 0.2463
15 Y 0.3747 0.6253 0.0000
16 Th 0.8752 0.1248 0.0000

Values from the calculation:
SG: Amm2
Energy relative to the elements: 0.02 eV per atom

=====

No. 3
Density functional theory data (PBE) for crystalline Pr4Y4Th at its relaxed geometry.

Cell: 5.1310 8.1399 8.1399 Å, 84.30 71.63 71.63°
Atoms (fractional coordinates):
1 Pr 0.6712 0.3290 0.3287
2 Pr 0.3288 0.6710 0.6713
3 Pr 0.9999 0.6713 0.3290
4 Pr 0.0001 0.3287 0.6710
5 Y 0.6630 0.6742 0.9999
6 Y 0.3370 0.3258 0.0001
7 Y 0.6628 0.0001 0.6742
8 Y 0.3372 0.9999 0.3258
9 Th 0.0000 0.0000 0.0000

Values from the calculation:
SG: I4/mmm
Energy relative to the elements: 0.03 eV per atom

=====

No. 4
Density functional theory data (PBE) for crystalline Pr4Y8Th at its relaxed geometry.

Cell: 7.8741 7.8741 7.8741 Å, 90.07 90.07 90.07°
Site moments in Bohr magnetons follow the coordinates.
Atoms (fractional coordinates):
1 Pr 0.5000 0.0000 0.5000  0.18
2 Pr 0.0000 0.5000 0.5000  0.18
3 Pr 0.5000 0.5000 0.0000  0.18
4 Pr 0.0000 0.0000 0.0000  -0.10
5 Y 0.2412 0.7580 0.2412  0.07
6 Y 0.7588 0.7588 0.2420  0.07
7 Y 0.7588 0.2420 0.7588  0.07
8 Y 0.2420 0.7588 0.7588  0.07
9 Y 0.7585 0.7585 0.7585  0.07
10 Y 0.2415 0.2415 0.2415  0.07
11 Y 0.7580 0.2412 0.2412  0.07
12 Y 0.2412 0.2412 0.7580  0.07
13 Th 0.5000 0.5000 0.5000  0.08

Values from the calculation:
SG: R-3m
Energy relative to the elements: 0.51 eV per atom

=====

No. 5
Density functional theory data (PBE) for crystalline Pr3Y2Th2 at its relaxed geometry.

Cell: 3.4746 5.6398 12.5412 Å, 103.01 90.00 90.00°
Atoms (fractional coordinates):
1 Pr 0.0000 0.2905 0.5809
2 Pr 0.0000 0.0000 0.0000
3 Pr 0.0000 0.7095 0.4191
4 Y 0.5000 0.5748 0.1498
5 Y 0.5000 0.4252 0.8502
6 Th 0.0000 0.8593 0.7177
7 Th 0.0000 0.1407 0.2823

Values from the calculation:
SG: Cmmm
Energy relative to the elements: 0.19 eV per atom

=====

No. 6
Density functional theory data (PBE) for crystalline Pr2Y2Th3 at its relaxed geometry.

Cell: 3.5612 3.5699 18.6965 Å, 90.00 95.46 90.00°
Atoms (fractional coordinates):
1 Pr 0.2922 0.5000 0.5845
2 Pr 0.7078 0.5000 0.4155
3 Y 0.1357 0.0000 0.2714
4 Y 0.8643 0.0000 0.7286
5 Th 0.4325 0.5000 0.8650
6 Th 0.5675 0.5000 0.1350
7 Th 0.0000 0.0000 0.0000

Values from the calculation:
SG: Cmmm
Energy relative to the elements: 0.07 eV per atom

=====

Copy entry 5 word for word.
Density functional theory data (PBE) for crystalline Pr3Y2Th2 at its relaxed geometry.

Cell: 3.4746 5.6398 12.5412 Å, 103.01 90.00 90.00°
Atoms (fractional coordinates):
1 Pr 0.0000 0.2905 0.5809
2 Pr 0.0000 0.0000 0.0000
3 Pr 0.0000 0.7095 0.4191
4 Y 0.5000 0.5748 0.1498
5 Y 0.5000 0.4252 0.8502
6 Th 0.0000 0.8593 0.7177
7 Th 0.0000 0.1407 0.2823

Values from the calculation:
SG: Cmmm
Energy relative to the elements: 0.19 eV per atom